Density functional theory data (GGA+U) for VPO5 after structural relaxation.

Properties
N(E_F): 0.00 states/eV per cell
Mass density: 3.081 Mg/m³
E: -0.271 Ha/atom
Space group: P2_1/c (14)

a = 7.2952 Å, b = 7.1768 Å, c = 7.8216 Å
α = 90.00°, β = 121.52°, γ = 90.00°
Closest atoms and distances in Å follow each position.
Fractional coordinates of all 28 atoms:
1 V 0.2491 0.2313 0.0431  1 O 1.61
2 V 0.2491 0.2687 0.5431  1 O 1.61
3 V 0.7509 0.7313 0.4569  1 O 1.61
4 V 0.7509 0.7687 0.9569  1 O 1.61
5 P 0.2487 0.6164 0.2541  4 O 1.53-1.56
6 P 0.2487 0.8836 0.7541  4 O 1.53-1.56
7 P 0.7513 0.1164 0.2459  4 O 1.53-1.56
8 P 0.7513 0.3836 0.7459  4 O 1.53-1.56
9 O 0.0526 0.7460 0.1516  1 P 1.53
10 O 0.0526 0.7540 0.6516  1 P 1.53
11 O 0.2426 0.0014 0.9158  1 P 1.54
12 O 0.2426 0.4986 0.4158  1 P 1.54
13 O 0.2470 0.1541 0.2359  1 V 1.61
14 O 0.2470 0.3459 0.7359  1 V 1.61
15 O 0.2541 0.0107 0.5952  1 P 1.56
16 O 0.2541 0.4893 0.0952  1 P 1.56
17 O 0.4491 0.7432 0.3534  1 P 1.54
18 O 0.4491 0.7568 0.8534  1 P 1.54
19 O 0.5509 0.2432 0.1466  1 P 1.54
20 O 0.5509 0.2568 0.6466  1 P 1.54
21 O 0.7459 0.5107 0.9048  1 P 1.56
22 O 0.7459 0.9893 0.4048  1 P 1.56
23 O 0.7530 0.6541 0.2641  1 V 1.61
24 O 0.7530 0.8459 0.7641  1 V 1.61
25 O 0.7574 0.5014 0.5842  1 P 1.54
26 O 0.7574 0.9986 0.0842  1 P 1.54
27 O 0.9474 0.2460 0.3484  1 P 1.53
28 O 0.9474 0.2540 0.8484  1 P 1.53